Record 1
DFT (GGA-PBE) results for a relaxed structure of Ca2HIrRh.

symmetry: P4/mmm (123)
electronic total energy: -5.02 eV/atom

abc: 4.9051 4.9051 3.4666
angles: 90.00 90.00 90.00
Closest atoms and distances in Å follow each position.
Atoms (fractional coordinates):
H1 0.0000 0.0000 0.0000  2 Rh 1.73
Ca1 0.0000 0.5000 0.0000  2 H 2.45
Ca2 0.5000 0.0000 0.0000  2 H 2.45
Ir1 0.5000 0.5000 0.5000  8 Ca 3.00
Rh1 0.0000 0.0000 0.5000  2 H 1.73

Record 2
DFT (GGA-PBE) results for a relaxed structure of Ca3TiHg.

E_form: 0.558 eV per atom
symmetry: Pm-3m (221)
electronic total energy: -2.28 eV/atom

abc: 5.7666 5.7666 5.7666
angles: 90.00 90.00 90.00
Closest atoms and distances in Å follow each position.
Atoms (fractional coordinates):
Ca1 0.0000 0.5000 0.0000  2 Hg 2.88
Ca2 0.0000 0.0000 0.5000  2 Hg 2.88
Ca3 0.5000 0.0000 0.0000  2 Hg 2.88
Hg1 0.0000 0.0000 0.0000  6 Ca 2.88
Ti1 0.5000 0.5000 0.5000  12 Ca 4.08

Record 3
DFT (GGA-PBE) results for a relaxed structure of Zn2CoBr.

symmetry: P4mm (99)
electronic total energy: -2.57 eV/atom
formation energy from raw total energies: 0.258 eV/atom

abc: 3.3741 3.3741 6.9372
angles: 90.00 90.00 90.00
Closest atoms and distances in Å follow each position.
Atoms (fractional coordinates):
Br1 0.0000 0.0000 0.4351  4 Zn 2.80
Co1 0.5000 0.5000 0.8851  5 Zn 2.34-2.44
Zn1 0.0000 0.0000 0.9570  4 Co 2.44
Zn2 0.5000 0.5000 0.2228  1 Co 2.34